VASP calculation (PBE) on an optimized crystal structure of Tb3Pr4DySe8.

The raw formation energy comes out at -1.807 eV per atom. The calculation puts the magnetization at 0.00 μB/atom.

It has space group R-3m (No. 166, hexagonal axes), with a = 8.2661 Å, b = 8.2661 Å, c = 20.9481 Å, α = 90.00°, β = 90.00° and γ = 120.00°. Symmetry generates all atoms from Tb at (0.0000, 0.5000, 0.0000), Pr at (0.0000, 0.0000, 0.5000), Pr at (0.0000, 0.5000, 0.5000), Dy at (0.0000, 0.0000, 0.0000), Se at (0.0000, 0.0000, 0.2555) and Se at (0.0010, 0.5005, 0.7443).